(1)
The following is a PBE calculation of a relaxed PrTc2O8 crystal, from Alexandria via LeMat-Bulk.

Computed properties:
Raw total energy ... -7.67 eV per atom
Space group ... C2/m
Magnetic moment ... 0.0645 μB/atom

a b c (Å): 6.1235 6.0859 6.0859
angles (deg): 55.29 74.27 74.27
Closest atoms and distances in Å follow each position.
Sites, in units of the cell vectors:
1 Pr 0.0000 0.0000 0.0000  6 O 2.41-2.50
2 Tc 0.3121 0.2024 0.2024  4 O 1.74-1.79
3 Tc 0.6879 0.7976 0.7976  4 O 1.74-1.79
4 O 0.7976 0.1037 0.6379  1 Tc 1.77
5 O 0.2024 0.3621 0.8963  1 Tc 1.77
6 O 0.6189 0.1529 0.1529  1 Tc 1.79
7 O 0.3811 0.8471 0.8471  1 Tc 1.79
8 O 0.7976 0.6379 0.1037  1 Tc 1.77
9 O 0.2024 0.8963 0.3621  1 Tc 1.77
10 O 0.1980 0.3713 0.3713  1 Tc 1.74
11 O 0.8020 0.6287 0.6287  1 Tc 1.74

=====

(2)
The following is a PBE calculation of a relaxed AcSmHgRh crystal, from Alexandria via LeMat-Bulk.

Computed properties:
Raw total energy ... -4.68 eV per atom
DFT formation energy ... -0.56 eV/atom
Space group ... R3m
Magnetic moment ... 0.0000 μB/atom

a b c (Å): 4.2265 4.2266 8.2425
angles (deg): 90.00 104.84 119.99
Closest atoms and distances in Å follow each position.
Sites, in units of the cell vectors:
1 Ac 0.5044 0.1501 0.6698  3 Rh 2.94
2 Sm 0.1053 0.9507 0.0713  3 Rh 2.87
3 Hg 0.9579 0.3771 0.3497  3 Sm 3.28, 3 Ac 3.51
4 Rh 0.3103 0.5530 0.8789  3 Sm 2.87, 3 Ac 2.94

=====

(3)
The following is a PBE calculation of a relaxed TiSiNi3 crystal, from Alexandria via LeMat-Bulk.

Computed properties:
Raw total energy ... -6.15 eV per atom
Space group ... I-4m2
Magnetic moment ... 0.0000 μB/atom

a b c (Å): 4.5000 4.5000 8.1901
angles (deg): 105.95 105.95 90.00
Closest atoms and distances in Å follow each position.
Sites, in units of the cell vectors:
1 Ti 0.6116 0.1116 0.2231  6 Ni 2.53-2.66, 2 Si 2.81
2 Ti 0.8884 0.3884 0.7769  6 Ni 2.53-2.66, 2 Si 2.81
3 Si 0.0000 0.0000 0.0000  4 Ni 2.19
4 Si 0.2500 0.7500 0.5000  8 Ni 2.20-2.35
5 Ni 0.6223 0.8761 0.7522  2 Si 2.19-2.20, 2 Ni 2.22-2.28
6 Ni 0.1239 0.8701 0.2478  2 Si 2.19-2.20, 2 Ni 2.22-2.28
7 Ni 0.1239 0.3777 0.2478  2 Si 2.19-2.20, 2 Ni 2.22-2.28
8 Ni 0.1299 0.8761 0.7522  2 Si 2.19-2.20, 2 Ni 2.22-2.28
9 Ni 0.2944 0.2944 0.5887  2 Si 2.35
10 Ni 0.7056 0.7056 0.4113  2 Si 2.35

=====

(4)
The following is a PBE calculation of a relaxed Rb2In2Cl7 crystal, from Alexandria via LeMat-Bulk.

Computed properties:
Raw total energy ... -3.19 eV per atom
Space group ... C2/m
Magnetic moment ... 0.0600 μB/atom

a b c (Å): 6.9198 8.3627 8.3627
angles (deg): 100.78 97.20 97.20
Closest atoms and distances in Å follow each position.
Sites, in units of the cell vectors:
1 Rb 0.0000 0.2948 0.7052  6 Cl 3.33-3.39
2 Rb 0.0000 0.7052 0.2948  6 Cl 3.33-3.39
3 In 0.4202 0.2283 0.2283  4 Cl 2.46-2.60
4 In 0.5798 0.7717 0.7717  4 Cl 2.46-2.60
5 Cl 0.7760 0.9059 0.5927  1 In 2.47
6 Cl 0.2240 0.4073 0.0941  1 In 2.47
7 Cl 0.2240 0.0941 0.4073  1 In 2.47
8 Cl 0.7760 0.5927 0.9059  1 In 2.47
9 Cl 0.5000 0.0000 0.0000  2 In 2.60
10 Cl 0.2810 0.6028 0.6028  1 In 2.46
11 Cl 0.7190 0.3972 0.3972  1 In 2.46

=====

(5)
The following is a PBE calculation of a relaxed Ac2In3Te6Pb crystal, from Alexandria via LeMat-Bulk.

Computed properties:
Raw total energy ... -4.03 eV per atom
Space group ... C2/m
Magnetic moment ... 0.0000 μB/atom

a b c (Å): 4.6937 9.5324 10.6646
angles (deg): 104.40 102.71 90.00
Closest atoms and distances in Å follow each position.
Sites, in units of the cell vectors:
1 Ac 0.8366 0.6739 0.6732  6 Te 3.29-3.38
2 Ac 0.1634 0.3261 0.3268  6 Te 3.29-3.38
3 In 0.5000 0.5000 0.0000  6 Te 3.34-3.40
4 In 0.8325 0.1669 0.6650  6 Te 3.36-3.39
5 In 0.1675 0.8331 0.3350  6 Te 3.36-3.39
6 Te 0.3348 0.9162 0.6697  2 Ac 3.30, 1 Pb 3.32, 3 In 3.36-3.37
7 Te 0.6687 0.5772 0.3375  3 Ac 3.33-3.38, 3 In 3.39-3.40
8 Te 0.6652 0.0838 0.3303  2 Ac 3.30, 1 Pb 3.32, 3 In 3.36-3.37
9 Te 0.0002 0.2513 0.0004  1 Ac 3.29, 3 In 3.34-3.37, 2 Pb 3.35
10 Te 0.9998 0.7487 0.9996  1 Ac 3.29, 3 In 3.34-3.37, 2 Pb 3.35
11 Te 0.3313 0.4228 0.6625  3 Ac 3.33-3.38, 3 In 3.39-3.40
12 Pb 0.5000 0.0000 0.0000  6 Te 3.32-3.35

=====

(6)
The following is a PBE calculation of a relaxed Ba2CdMo crystal, from Alexandria via LeMat-Bulk.

Computed properties:
Raw total energy ... -3.31 eV per atom
DFT formation energy ... 0.59 eV/atom
Space group ... Amm2
Magnetic moment ... 0.6958 μB/atom

a b c (Å): 4.9374 4.9881 6.7024
angles (deg): 68.13 90.00 90.00
Closest atoms and distances in Å follow each position.
Sites, in units of the cell vectors:
1 Ba 0.0000 0.9787 0.9173  3 Cd 3.55-3.69, 4 Mo 3.69
2 Ba 0.5000 0.2681 0.3388  3 Mo 3.50-3.77, 4 Cd 3.67
3 Cd 0.0000 0.6824 0.5105  2 Mo 2.83
4 Mo 0.5000 0.5708 0.7334  2 Cd 2.83